No. 1
Compound: Ac3La12Pm
Source: the Alexandria database
Functional: PBE-GGA
Structure: relaxed Values from VASP.

Geometry as Quantum ESPRESSO input:
```
&SYSTEM
  ibrav = 0, nat = 16, ntyp = 3
/
ATOMIC_SPECIES
La 138.91 La.upf
Ac 227.00 Ac.upf
Pm 145.00 Pm.upf
CELL_PARAMETERS angstrom
5.333 0.000 0.000
0.000 5.333 0.000
0.000 0.000 21.289
ATOMIC_POSITIONS crystal
La 0.000 0.500 0.121
La 0.500 0.500 0.500
La 0.000 0.500 0.626
La 0.500 0.000 0.374
La 0.500 0.000 0.626
La 0.000 0.500 0.879
La 0.000 0.500 0.374
La 0.500 0.000 0.121
La 0.500 0.500 0.000
La 0.500 0.000 0.879
La 0.500 0.500 0.247
La 0.500 0.500 0.753
Ac 0.000 0.000 0.248
Ac 0.000 0.000 0.752
Ac 0.000 0.000 0.500
Pm 0.000 0.000 0.000
```

Calculated values
space group = P4/mmm, No. 123
total magnetization = 0.00 μB per cell
mass density = 6.8 g/cm3

No. 2
Compound: Ac4La3Pm
Source: the Alexandria database
Functional: PBE-GGA
Structure: relaxed Values from VASP.

Geometry as Quantum ESPRESSO input:
```
&SYSTEM
  ibrav = 0, nat = 16, ntyp = 3
/
ATOMIC_SPECIES
Ac 227.00 Ac.upf
La 138.91 La.upf
Pm 145.00 Pm.upf
CELL_PARAMETERS angstrom
7.666 0.000 0.000
0.000 7.670 0.000
0.000 0.000 11.021
ATOMIC_POSITIONS crystal
Ac 0.501 0.310 0.000
Ac 0.499 0.810 0.500
Ac 0.251 0.561 0.249
Ac 0.999 0.812 0.000
Ac 0.001 0.312 0.500
Ac 0.251 0.561 0.751
Ac 0.749 0.061 0.749
Ac 0.749 0.061 0.251
La 0.250 0.061 0.250
La 0.250 0.061 0.750
La 0.750 0.561 0.250
La 0.000 0.810 0.500
La 0.750 0.561 0.750
La 0.000 0.310 0.000
Pm 0.500 0.811 0.000
Pm 0.500 0.311 0.500
```

Calculated values
excess energy over the best structure of this formula in the dataset = 0.000 eV per atom
space group = Pmn2_1, No. 31
total magnetization = 0.00 μB per cell
mass density = 7.5 g/cm3

No. 3
Compound: Ac2La3Pm
Source: the Alexandria database
Functional: PBE-GGA
Structure: relaxed Values from VASP.

Geometry as Quantum ESPRESSO input:
```
&SYSTEM
  ibrav = 0, nat = 12, ntyp = 3
/
ATOMIC_SPECIES
La 138.91 La.upf
Pm 145.00 Pm.upf
Ac 227.00 Ac.upf
CELL_PARAMETERS angstrom
-0.441 2.639 2.494
-6.888 -0.214 -0.993
-1.543 -13.017 13.504
ATOMIC_POSITIONS crystal
La 0.500 0.779 0.861
La 0.500 0.221 0.139
La 0.500 0.500 0.500
La 0.000 0.000 0.000
La 0.000 0.279 0.639
La 0.000 0.721 0.361
Pm 0.500 0.500 0.000
Pm 0.000 0.000 0.500
Ac 0.000 0.772 0.686
Ac 0.000 0.228 0.314
Ac 0.500 0.728 0.186
Ac 0.500 0.272 0.814
```

Calculated values
excess energy over the best structure of this formula in the dataset = 0.153 eV per atom
space group = Pnnm, No. 58
total magnetization = 0.00 μB per cell
mass density = 7.0 g/cm3

No. 4
Compound: Ac2La5Pm4
Source: the Alexandria database
Functional: PBE-GGA
Structure: relaxed Values from VASP.

Geometry as Quantum ESPRESSO input:
```
&SYSTEM
  ibrav = 0, nat = 11, ntyp = 3
/
ATOMIC_SPECIES
La 138.91 La.upf
Pm 145.00 Pm.upf
Ac 227.00 Ac.upf
CELL_PARAMETERS angstrom
4.657 1.314 -4.332
-1.427 9.109 -3.802
-2.159 -3.587 12.894
ATOMIC_POSITIONS crystal
La 0.054 0.455 0.869
La 0.946 0.545 0.131
La 0.314 0.184 0.044
La 0.500 0.000 0.500
La 0.686 0.816 0.956
Pm 0.395 0.091 0.767
Pm 0.141 0.361 0.591
Pm 0.859 0.639 0.409
Pm 0.605 0.909 0.233
Ac 0.225 0.270 0.316
Ac 0.775 0.730 0.684
```

Calculated values
space group = P-1, No. 2
total magnetization = 0.00 μB per cell
mass density = 7.0 g/cm3

No. 5
Compound: Ac6LaPm8
Source: the Alexandria database
Functional: PBE-GGA
Structure: relaxed Values from VASP.

Geometry as Quantum ESPRESSO input:
```
&SYSTEM
  ibrav = 0, nat = 15, ntyp = 3
/
ATOMIC_SPECIES
Pm 145.00 Pm.upf
Ac 227.00 Ac.upf
La 138.91 La.upf
CELL_PARAMETERS angstrom
8.295 0.000 4.777
2.772 7.818 4.777
0.223 0.157 9.204
ATOMIC_POSITIONS crystal
Pm 0.575 0.575 0.276
Pm 0.294 0.239 0.580
Pm 0.706 0.761 0.420
Pm 0.239 0.887 0.580
Pm 0.761 0.113 0.420
Pm 0.887 0.294 0.580
Pm 0.113 0.706 0.420
Pm 0.425 0.425 0.724
Ac 0.910 0.460 0.869
Ac 0.540 0.240 0.131
Ac 0.760 0.910 0.869
Ac 0.460 0.760 0.869
Ac 0.240 0.090 0.131
Ac 0.090 0.540 0.131
La 0.000 0.000 0.000
```

Calculated values
space group = R-3, No. 148
total magnetization = 0.00 μB per cell
mass density = 7.6 g/cm3

No. 6
Compound: Ac4La7Pm
Source: the Alexandria database
Functional: PBE-GGA
Structure: relaxed Values from VASP.

Geometry as Quantum ESPRESSO input:
```
&SYSTEM
  ibrav = 0, nat = 12, ntyp = 3
/
ATOMIC_SPECIES
La 138.91 La.upf
Ac 227.00 Ac.upf
Pm 145.00 Pm.upf
CELL_PARAMETERS angstrom
7.229 1.689 1.719
5.358 7.719 3.731
-0.392 0.110 10.063
ATOMIC_POSITIONS crystal
La 0.251 0.832 0.671
La 0.001 0.669 0.329
La 0.500 0.000 0.000
La 0.748 0.498 0.998
La 0.999 0.331 0.671
La 0.749 0.168 0.329
La 0.252 0.502 0.002
Ac 0.507 0.329 0.670
Ac 0.752 0.829 0.669
Ac 0.493 0.671 0.330
Ac 0.248 0.171 0.331
Pm 0.000 0.000 0.000
```

Calculated values
space group = P-1, No. 2
total magnetization = 0.00 μB per cell
mass density = 7.1 g/cm3

No. 7
Compound: Ac6La3Pm
Source: the Alexandria database
Functional: PBE-GGA
Structure: relaxed Values from VASP.

Geometry as Quantum ESPRESSO input:
```
&SYSTEM
  ibrav = 0, nat = 20, ntyp = 3
/
ATOMIC_SPECIES
Ac 227.00 Ac.upf
Pm 145.00 Pm.upf
La 138.91 La.upf
CELL_PARAMETERS angstrom
9.863 -0.710 -3.284
-4.340 8.885 -3.284
-0.480 -0.710 10.384
ATOMIC_POSITIONS crystal
Ac 0.155 0.097 0.734
Ac 0.734 0.155 0.097
Ac 0.845 0.903 0.266
Ac 0.923 0.624 0.417
Ac 0.266 0.845 0.903
Ac 0.376 0.583 0.077
Ac 0.077 0.376 0.583
Ac 0.583 0.077 0.376
Ac 0.903 0.266 0.845
Ac 0.624 0.417 0.923
Ac 0.097 0.734 0.155
Ac 0.417 0.923 0.624
Pm 0.500 0.500 0.500
Pm 0.000 0.000 0.000
La 0.543 0.714 0.835
La 0.165 0.457 0.286
La 0.457 0.286 0.165
La 0.835 0.543 0.714
La 0.714 0.835 0.543
La 0.286 0.165 0.457
```

Calculated values
excess energy over the best structure of this formula in the dataset = 0.020 eV per atom
space group = R-3, No. 148
total magnetization = 0.00 μB per cell
mass density = 7.7 g/cm3

No. 8
Compound: AcLa2Pm5
Source: the Alexandria database
Functional: PBE-GGA
Structure: relaxed Values from VASP.

Geometry as Quantum ESPRESSO input:
```
&SYSTEM
  ibrav = 0, nat = 16, ntyp = 3
/
ATOMIC_SPECIES
Pm 145.00 Pm.upf
La 138.91 La.upf
Ac 227.00 Ac.upf
CELL_PARAMETERS angstrom
-3.160 -2.408 3.492
5.640 -4.299 2.139
3.732 10.013 10.282
ATOMIC_POSITIONS crystal
Pm 0.500 0.751 0.627
Pm 0.000 0.496 0.253
Pm 0.000 0.996 0.247
Pm 0.000 0.000 0.000
Pm 0.000 0.504 0.747
Pm 0.500 0.249 0.373
Pm 0.500 0.251 0.873
Pm 0.000 0.004 0.753
Pm 0.500 0.749 0.127
Pm 0.000 0.500 0.500
La 0.500 0.754 0.872
La 0.500 0.746 0.372
La 0.500 0.254 0.628
La 0.500 0.246 0.128
Ac 0.000 0.000 0.500
Ac 0.000 0.500 0.000
```

Calculated values
space group = Pbam, No. 55
total magnetization = 0.00 μB per cell
mass density = 7.0 g/cm3

No. 9
Compound: Ac8LaPm6
Source: the Alexandria database
Functional: PBE-GGA
Structure: relaxed Values from VASP.

Geometry as Quantum ESPRESSO input:
```
&SYSTEM
  ibrav = 0, nat = 15, ntyp = 3
/
ATOMIC_SPECIES
Ac 227.00 Ac.upf
La 138.91 La.upf
Pm 145.00 Pm.upf
CELL_PARAMETERS angstrom
-2.714 -8.796 1.012
7.018 -6.042 -0.060
1.910 -3.497 8.360
ATOMIC_POSITIONS crystal
Ac 0.267 0.267 0.267
Ac 0.821 0.413 0.138
Ac 0.862 0.179 0.587
Ac 0.179 0.587 0.862
Ac 0.413 0.138 0.821
Ac 0.733 0.733 0.733
Ac 0.138 0.821 0.413
Ac 0.587 0.862 0.179
La 0.000 0.000 0.000
Pm 0.321 0.938 0.628
Pm 0.372 0.679 0.062
Pm 0.938 0.628 0.321
Pm 0.628 0.321 0.938
Pm 0.679 0.062 0.372
Pm 0.062 0.372 0.679
```

Calculated values
space group = R-3, No. 148
total magnetization = 0.00 μB per cell
mass density = 7.3 g/cm3

No. 10
Compound: Ac7La3Pm
Source: the Alexandria database
Functional: PBE-GGA
Structure: relaxed Values from VASP.

Geometry as Quantum ESPRESSO input:
```
&SYSTEM
  ibrav = 0, nat = 11, ntyp = 3
/
ATOMIC_SPECIES
Pm 145.00 Pm.upf
La 138.91 La.upf
Ac 227.00 Ac.upf
CELL_PARAMETERS angstrom
6.341 -0.036 -2.245
-0.826 11.820 -0.667
-0.863 -0.036 6.671
ATOMIC_POSITIONS crystal
Pm 0.500 0.500 0.500
La 0.172 0.000 0.828
La 0.000 0.500 0.000
La 0.828 0.000 0.172
Ac 0.500 0.000 0.500
Ac 0.193 0.238 0.193
Ac 0.905 0.286 0.542
Ac 0.458 0.714 0.095
Ac 0.542 0.286 0.905
Ac 0.807 0.762 0.807
Ac 0.095 0.714 0.458
```

Calculated values
space group = C2/m, No. 12
total magnetization = 0.00 μB per cell
mass density = 7.5 g/cm3

| no. | ΔE_f (eV per atom) |
| --- | --- |
| 1 | 0.011 |
| 2 | 0.025 |
| 3 | 0.227 |
| 4 | 0.025 |
| 5 | 0.121 |
| 6 | 0.021 |
| 7 | 0.084 |
| 8 | 0.024 |
| 9 | 0.225 |
| 10 | 0.185 |